1.
A relaxed TaAlRe2 crystal. Source: the Alexandria database, functional GGA-PBEsol.

a = 3.179 Å, b = 3.179 Å, c = 5.962 Å
α = 90.00°, β = 90.00°, γ = 90.00°
Element x y z (fractional)
Ta1 0.000 0.000 0.000
Al1 0.000 0.000 0.500
Re1 0.500 0.500 0.260
Re2 0.500 0.500 0.740

Summary:
E_form ... -0.200 eV/atom
M_tot ... 0.000 μB per cell
Space group ... P4/mmm
Uncorrected energy ... -0.4052 hartree per atom

2.
A relaxed IrCNF2 crystal. Source: the Alexandria database, functional GGA-PBEsol.

a = 4.156 Å, b = 4.156 Å, c = 3.674 Å
α = 90.00°, β = 90.00°, γ = 90.00°
Element x y z (fractional)
Ir1 0.000 0.000 0.000
C1 0.500 0.500 0.500
N1 0.000 0.000 0.500
F1 0.000 0.500 0.000
F2 0.500 0.000 0.000

Summary:
M_tot ... 1.480 μB per cell
Space group ... P4/mmm
Uncorrected energy ... -0.1902 hartree per atom
E_form (uncorrected) ... 1.1950 eV per atom

3.
A relaxed Y2CuSe crystal. Source: the Alexandria database, functional GGA-PBEsol.

a = 3.900 Å, b = 3.900 Å, c = 20.791 Å
α = 90.00°, β = 90.00°, γ = 120.00°
Element x y z (fractional)
Y1 0.000 0.000 0.249
Y2 0.000 0.000 0.751
Y3 0.333 0.667 0.418
Y4 0.333 0.667 0.915
Y5 0.667 0.333 0.085
Y6 0.667 0.333 0.582
Cu1 0.000 0.000 0.500
Cu2 0.333 0.667 0.167
Cu3 0.667 0.333 0.833
Se1 0.000 0.000 0.000
Se2 0.333 0.667 0.667
Se3 0.667 0.333 0.333

Summary:
M_tot ... 0.000 μB per cell
Space group ... R-3m
Uncorrected energy ... -0.2359 hartree per atom
E_form (uncorrected) ... -0.9626 eV per atom

4.
A relaxed SrTe5 crystal. Source: the Alexandria database, functional GGA-PBEsol.

a = 4.273 Å, b = 4.273 Å, c = 10.292 Å
α = 90.00°, β = 90.00°, γ = 90.00°
Element x y z (fractional)
Sr1 0.000 0.000 0.000
Te1 0.000 0.000 0.366
Te2 0.000 0.000 0.634
Te3 0.500 0.500 0.141
Te4 0.500 0.500 0.500
Te5 0.500 0.500 0.859

Summary:
M_tot ... 0.000 μB per cell
Space group ... P4/mmm
Uncorrected energy ... -0.1309 hartree per atom
E_form (uncorrected) ... -0.3164 eV per atom

5.
A relaxed Lu5SbPt2 crystal. Source: the Alexandria database, functional GGA-PBEsol.

a = 8.459 Å, b = 8.459 Å, c = 8.459 Å
α = 127.55°, β = 127.55°, γ = 77.36°
Element x y z (fractional)
Lu1 0.000 0.000 0.000
Lu2 0.017 0.517 0.813
Lu3 0.204 0.017 0.500
Lu4 0.296 0.796 0.813
Lu5 0.483 0.296 0.500
Lu6 0.500 0.500 0.000
Lu7 0.517 0.704 0.500
Lu8 0.704 0.204 0.187
Lu9 0.796 0.983 0.500
Lu10 0.983 0.483 0.187
Sb1 0.250 0.250 0.000
Sb2 0.750 0.750 0.000
Pt1 0.139 0.361 0.500
Pt2 0.361 0.861 0.222
Pt3 0.639 0.139 0.778
Pt4 0.861 0.639 0.500

Summary:
M_tot ... 0.001 μB per cell
Space group ... I4/mcm
Uncorrected energy ... -0.2346 hartree per atom
E_form (uncorrected) ... -1.0279 eV per atom

6.
A relaxed CaNi2WBr crystal. Source: the Alexandria database, functional GGA-PBEsol.

a = 4.423 Å, b = 4.423 Å, c = 6.111 Å
α = 90.00°, β = 90.00°, γ = 90.00°
Element x y z (fractional)
Ca1 0.000 0.000 0.000
Ni1 0.000 0.500 0.500
Ni2 0.500 0.000 0.500
W1 0.000 0.000 0.500
Br1 0.500 0.500 0.000

Summary:
M_tot ... 0.006 μB per cell
Space group ... P4/mmm
Uncorrected energy ... -0.1860 hartree per atom
E_form (uncorrected) ... 0.9632 eV per atom